Version P
Th2TeRu: relaxed, PBE.

Geometry as POSCAR:
```
Th2TeRu
1.0
4.1645 -0.0010 -0.0028
-2.0819 3.6068 0.0028
-2.0753 -1.2057 7.7200
Th Te Ru
2 1 1
Direct
0.5339 0.2671 0.8011
0.4661 0.7329 0.1989
0.0000 0.5000 0.5000
0.0000 0.0000 0.0000
```

Computed properties:
Crystal system   trigonal
Space-group type   No. 166

***

Version Q
Th2TeRu: relaxed, PBE.

Geometry as POSCAR:
```
Th2TeRu
1.0
-2.4651 1.7314 -2.8416
-0.3538 -1.7123 -3.7540
-6.9286 -4.3402 0.3485
Th Te Ru
2 1 1
Direct
0.0656 0.0656 0.8031
0.2669 0.2669 0.1992
0.4992 0.4992 0.5024
0.6682 0.6682 0.9953
```

Computed properties:
Crystal system   trigonal
Space-group type   No. 160

***

Energetically preferred structure: version P | next structure: +0.037 eV/atom

***

Version P
TiTe2Ru2: relaxed, PBE.

Geometry as POSCAR:
```
TiTe2Ru2
1.0
-5.4598 -3.9494 -3.6041
5.1942 -5.1394 -2.2368
-0.5213 -1.6644 2.6135
Ru Te Ti
4 4 2
Direct
0.1432 0.6432 0.5000
0.6432 0.8568 0.5000
0.8568 0.3568 0.5000
0.3568 0.1432 0.5000
0.3417 0.8417 0.0000
0.8417 0.6583 0.0000
0.6583 0.1583 0.0000
0.1583 0.3417 0.0000
0.0000 0.0000 0.0000
0.5000 0.5000 0.0000
```

Computed properties:
Crystal system   tetragonal
Space-group type   No. 127

***

Version Q
TiTe2Ru2: relaxed, PBE.

Geometry as POSCAR:
```
TiTe2Ru2
1.0
4.0678 0.0000 0.0000
0.0000 4.0678 0.0000
2.0339 2.0339 6.2390
Ru Te Ti
2 2 1
Direct
0.7500 0.2500 0.5000
0.2500 0.7500 0.5000
0.3764 0.3764 0.2473
0.6236 0.6236 0.7527
0.0000 0.0000 0.0000
```

Computed properties:
Crystal system   tetragonal
Space-group type   No. 139

***

Energetically preferred structure: version P | next structure: +0.102 eV/atom

***

Version P
TlTeRu: relaxed, PBE.

Geometry as POSCAR:
```
TlTeRu
1.0
7.2466 -0.0191 0.0200
6.5238 3.1550 0.0277
0.7228 0.1571 3.1703
Ru Te Tl
1 1 1
Direct
0.9787 0.9787 0.0213
0.3804 0.3804 0.6196
0.6409 0.6409 0.3591
```

Computed properties:
Crystal system   tetragonal
Space-group type   No. 107

***

Version Q
TlTeRu: relaxed, PBE.

Geometry as POSCAR:
```
TlTeRu
1.0
-2.4511 -3.6342 0.5407
4.4074 -0.2794 0.0627
-0.0226 0.7460 4.9119
Ru Te Tl
1 1 1
Direct
0.0000 0.0000 0.1684
0.6667 0.3333 0.1657
0.3333 0.6667 0.6659
```

Computed properties:
Crystal system   trigonal
Space-group type   No. 156

***

Version R
TlTeRu: relaxed, PBE.

Geometry as POSCAR:
```
TlTeRu
1.0
3.5745 0.0000 0.0000
-1.7872 3.0956 0.0000
0.0000 0.0000 6.4210
Ru Te Tl
1 1 1
Direct
0.0000 0.0000 0.0270
0.6667 0.3333 0.2683
0.3333 0.6667 0.7046
```

Computed properties:
Crystal system   trigonal
Space-group type   No. 156

***

Version S
TlTeRu: relaxed, PBE.

Geometry as POSCAR:
```
TlTeRu
1.0
-0.4954 3.8789 -1.8710
-3.4317 0.7823 2.5304
4.9309 3.3551 5.6500
Ru Tl Te
2 2 2
Direct
0.0000 0.0000 0.5000
0.5000 0.5000 0.5000
0.0000 0.5000 0.8624
0.5000 0.0000 0.1376
0.0000 0.5000 0.3238
0.5000 0.0000 0.6762
```

Computed properties:
Crystal system   tetragonal
Space-group type   No. 129

***

Energetically preferred structure: version S | next structure: +0.158 eV/atom

***

Version P
Tl2TeRu: relaxed, PBE.

Geometry as POSCAR:
```
Tl2TeRu
1.0
2.1072 3.5547 3.0638
-2.5076 1.5871 4.2020
1.7129 -1.3169 4.6686
Ru Tl Te
1 2 1
Direct
0.0000 0.0000 0.0000
0.2500 0.2500 0.2500
0.7500 0.7500 0.7500
0.5000 0.5000 0.5000
```

Computed properties:
Crystal system   cubic
Space-group type   No. 225

***

Version Q
Tl2TeRu: relaxed, PBE.

Geometry as POSCAR:
```
Tl2TeRu
1.0
-0.0130 2.9134 -2.4415
-0.7216 -2.9360 -3.4997
-5.9403 -1.2449 -1.4540
Ru Te Tl
1 1 2
Direct
0.5000 0.5000 0.5000
0.0000 0.0000 0.5000
0.0000 0.0000 0.0000
0.5000 0.5000 0.0000
```

Computed properties:
Crystal system   monoclinic
Space-group type   No. 10

***

Energetically preferred structure: version Q | next structure: +0.188 eV/atom

***

Version P
Tl2TeRu: relaxed, PBE.

Geometry as POSCAR:
```
Tl2TeRu
1.0
4.6838 0.0016 0.0047
-2.2283 5.8980 -0.0007
0.2273 1.2029 3.5715
Ru Te Tl
1 1 2
Direct
0.0000 0.5000 0.5000
0.5000 0.5000 0.0000
0.0000 0.0000 0.0000
0.5000 0.0000 0.5000
```

Computed properties:
Crystal system   monoclinic
Space-group type   No. 12

***

Version Q
Tl2TeRu: relaxed, PBE.

Geometry as POSCAR:
```
Tl2TeRu
1.0
3.2360 0.0128 0.0000
-0.0127 3.2360 0.0000
0.0000 0.0000 10.1285
Ru Te Tl
1 1 2
Direct
0.0000 0.0000 0.5260
0.5000 0.5000 0.6623
0.0000 0.0000 0.0071
0.5000 0.5000 0.3046
```

Computed properties:
Crystal system   tetragonal
Space-group type   No. 99

***

Energetically preferred structure: version Q | next structure: +0.447 eV/atom

***

Version P
Tl2TeRu: relaxed, PBE.

Geometry as POSCAR:
```
Tl2TeRu
1.0
-0.1931 4.2882 4.0304
-4.9008 -0.5360 -3.2194
-1.1609 -2.0311 2.1054
Ru Te Tl
1 1 2
Direct
0.5000 0.0000 0.5000
0.0000 0.5000 0.5000
0.0000 0.0000 0.0000
0.5000 0.5000 0.0000
```

Computed properties:
Crystal system   orthorhombic
Space-group type   No. 65

***

Version Q
Tl2TeRu: relaxed, PBE.

Geometry as POSCAR:
```
Tl2TeRu
1.0
10.1859 -0.0040 -0.0023
9.6335 3.3090 -0.0023
9.6335 1.6065 2.8929
Ru Te Tl
1 1 2
Direct
0.2500 0.2500 0.2500
0.7500 0.7500 0.7500
0.9846 0.9846 0.9846
0.5154 0.5154 0.5154
```

Computed properties:
Crystal system   trigonal
Space-group type   No. 166

***

Energetically preferred structure: version Q | next structure: +0.109 eV/atom

***

Version P
Tm4TeRu: relaxed, PBE.

Geometry as POSCAR:
```
Tm4TeRu
1.0
-0.4766 -3.7266 -1.3522
2.8036 2.2287 -7.1306
17.8304 -4.3329 5.6562
Tm Te Ru
16 4 4
Direct
0.7500 0.8654 0.6435
0.2500 0.1346 0.3565
0.2500 0.6346 0.1435
0.7500 0.3654 0.8565
0.7500 0.8585 0.4550
0.2500 0.1415 0.5450
0.2500 0.6415 0.9550
0.7500 0.3585 0.0450
0.7500 0.0021 0.9328
0.2500 0.9979 0.0672
0.2500 0.4979 0.4328
0.7500 0.5021 0.5672
0.7500 0.9482 0.2121
0.2500 0.0518 0.7879
0.2500 0.5518 0.7121
0.7500 0.4482 0.2879
0.7500 0.7472 0.8077
0.2500 0.2528 0.1923
0.2500 0.7528 0.3077
0.7500 0.2472 0.6923
0.7500 0.2456 0.4482
0.2500 0.7544 0.5518
0.2500 0.2544 0.9482
0.7500 0.7456 0.0518
```

Computed properties:
Crystal system   orthorhombic
Space-group type   No. 62

***

Version Q
Tm4TeRu: relaxed, PBE.

Geometry as POSCAR:
```
Tm4TeRu
1.0
5.2214 0.0000 0.0000
-2.6107 10.4008 -1.4341
0.0000 -4.6549 8.0823
Tm Te Ru
8 2 2
Direct
0.0151 0.0303 0.2882
0.2004 0.4009 0.9978
0.7650 0.5300 0.3296
0.6008 0.2015 0.6676
0.3992 0.7985 0.3324
0.2350 0.4700 0.6704
0.7996 0.5991 0.0022
0.9849 0.9697 0.7118
0.1559 0.3118 0.2577
0.8441 0.6882 0.7423
0.0942 0.1884 0.6389
0.9058 0.8116 0.3611
```

Computed properties:
Crystal system   monoclinic
Space-group type   No. 12

***

Energetically preferred structure: version P | next structure: +0.278 eV/atom

***

Version P
Tm5Te2Ru: relaxed, PBE.

Geometry as POSCAR:
```
Tm5Te2Ru
1.0
4.1761 0.0000 0.0000
0.0000 7.9903 0.0000
0.0000 0.0000 12.7500
Tm Te Ru
10 4 2
Direct
0.0000 0.0000 0.5000
0.0000 0.5000 0.0000
0.0000 0.8397 0.1835
0.0000 0.1603 0.8165
0.0000 0.6603 0.6835
0.0000 0.3397 0.3165
0.5000 0.6702 0.4205
0.5000 0.3298 0.5795
0.5000 0.8298 0.9205
0.5000 0.1702 0.0795
0.5000 0.5411 0.1781
0.5000 0.4589 0.8219
0.5000 0.9589 0.6781
0.5000 0.0411 0.3219
0.0000 0.5000 0.5000
0.0000 0.0000 0.0000
```

Computed properties:
Crystal system   orthorhombic
Space-group type   No. 55

***

Version Q
Tm5Te2Ru: relaxed, PBE.

Geometry as POSCAR:
```
Tm5Te2Ru
1.0
5.1332 0.0000 0.0000
-2.5666 8.1708 0.0000
0.0000 0.0000 13.2421
Tm Te Ru
10 4 2
Direct
0.9049 0.8099 0.8844
0.9049 0.8099 0.6156
0.3075 0.6151 0.4240
0.3075 0.6151 0.0760
0.7386 0.4773 0.2500
0.2614 0.5227 0.7500
0.6925 0.3849 0.5760
0.6925 0.3849 0.9240
0.0951 0.1901 0.1156
0.0951 0.1901 0.3844
0.9083 0.8167 0.3866
0.9083 0.8167 0.1134
0.0917 0.1833 0.6134
0.0917 0.1833 0.8866
0.7856 0.5712 0.7500
0.2144 0.4288 0.2500
```

Computed properties:
Crystal system   orthorhombic
Space-group type   No. 63

***

Energetically preferred structure: version P | next structure: +0.307 eV/atom